This record from Alexandria via LeMat-Bulk describes crystalline Rb2ScBI6 at its relaxed geometry. The functional is PBE.

Values from the calculation:
Energy relative to the elements, uncorrected = -0.724 eV per atom
Total magnetization = 0.000 μB per formula unit

Cell lengths 8.2086, 8.2086, 8.2086 Å; angles 60.00, 60.00, 60.00 degrees
Sites, in units of the cell vectors:
Rb (0.2500, 0.2500, 0.2500)
Rb (0.7500, 0.7500, 0.7500)
Sc (0.0000, 0.0000, 0.0000)
B (0.5000, 0.5000, 0.5000)
I (0.2504, 0.2504, 0.7496)
I (0.2504, 0.7496, 0.2504)
I (0.2504, 0.7496, 0.7496)
I (0.7496, 0.2504, 0.2504)
I (0.7496, 0.2504, 0.7496)
I (0.7496, 0.7496, 0.2504)